DFT (PBE) results for crystalline Hf2TaRuRh at its relaxed geometry.

Computed properties:
As for the total energy: -8.748 eV per atom. Its space group is No. 123. Its density of states at the Fermi level is 1.208 states/eV/atom. The energy above the most stable polymorph in this dataset is 0.2546 eV/atom. The formation energy from the elements comes out at 4.65 eV/f.u.

Unit cell a=4.849 b=4.657 c=4.849 alpha=90.00 beta=90.00 gamma=90.00
Positions (direct):
1 Ru 0.000 0.500 0.000
2 Rh 0.000 0.000 0.000
3 Hf 0.000 0.000 0.500
4 Hf 0.500 0.000 0.000
5 Ta 0.500 0.500 0.500